Record 1
The following is a DFT calculation (PBE-GGA) of crystalline KGeB at its relaxed geometry.

Calculated values
Its crystal system is monoclinic. The value obtained for the raw total energy is -3.97 eV per atom.

a = 7.6761 Å, b = 11.5617 Å, c = 3.4728 Å
α = 90.00°, β = 115.44°, γ = 90.00°
Positions (direct):
K: 0.0000 0.1698 0.0000
K: 0.0000 0.8302 0.5000
K: 0.5000 0.3302 0.5000
K: 0.5000 0.6698 0.0000
Ge: 0.1015 0.4210 0.6122
Ge: 0.1015 0.5790 0.1122
Ge: 0.6015 0.0790 0.1122
Ge: 0.6015 0.9210 0.6122
B: 0.3330 0.0007 0.6081
B: 0.3330 0.9993 0.1081
B: 0.8330 0.4993 0.1081
B: 0.8330 0.5007 0.6081



Record 2
The following is a DFT calculation (PBE-GGA) of crystalline KGeB at its relaxed geometry.

Calculated values
Its crystal system is orthorhombic. The value obtained for the raw total energy is -3.56 eV per atom.

a = 6.2069 Å, b = 14.8929 Å, c = 3.6290 Å
α = 90.00°, β = 90.00°, γ = 90.00°
Positions (direct):
K: 0.0000 0.1686 0.2500
K: 0.0000 0.8314 0.7500
K: 0.5000 0.3314 0.7500
K: 0.5000 0.6686 0.2500
Ge: 0.0000 0.4036 0.2500
Ge: 0.0000 0.5964 0.7500
Ge: 0.5000 0.0964 0.7500
Ge: 0.5000 0.9036 0.2500
B: 0.0000 0.3584 0.7500
B: 0.0000 0.6416 0.2500
B: 0.5000 0.1416 0.2500
B: 0.5000 0.8584 0.7500



Looking at total magnetization for the records above, in order, we have 0.00 0.00 μB/cell.